No. 1
The following is a PBE-GGA calculation of Ag3H5F12 after structural relaxation, from Alexandria via LeMat-Bulk.

The structure in CIF format:
```
data_Ag3H5F12
_cell_length_a 11.3666
_cell_length_b 11.3666
_cell_length_c 11.3666
_cell_angle_alpha 90.00
_cell_angle_beta 90.00
_cell_angle_gamma 90.00
_symmetry_space_group_name_H-M 'I a -3 d'
_symmetry_Int_Tables_number 230
_symmetry_space_group_name_Hall '-I 4bd 2c 3'
loop_
_atom_site_label
_atom_site_type_symbol
_atom_site_fract_x
_atom_site_fract_y
_atom_site_fract_z
_atom_site_occupancy
Ag1 Ag 0.0000 0.2500 0.1250 1
H1 H 0.0000 0.0000 0.0000 1
H2 H 0.0000 0.2500 0.3750 1
F1 F 0.0378 0.0423 0.6532 1
```

Calculated values
Electronic total energy ... -3.11 eV per atom
DOS at the Fermi energy ... 59.26 states/eV/cell

***

No. 2
The following is a PBE-GGA calculation of AgH3F6 after structural relaxation, from Alexandria via LeMat-Bulk.

The structure in CIF format:
```
data_AgH3F6
_cell_length_a 5.5547
_cell_length_b 6.6321
_cell_length_c 8.1928
_cell_angle_alpha 94.51
_cell_angle_beta 98.09
_cell_angle_gamma 114.13
_symmetry_space_group_name_H-M 'P -1'
_symmetry_Int_Tables_number 2
loop_
_symmetry_equiv_pos_as_xyz
'x,y,z'
'-x,-y,-z'
loop_
_atom_site_label
_atom_site_type_symbol
_atom_site_fract_x
_atom_site_fract_y
_atom_site_fract_z
_atom_site_occupancy
Ag1 Ag 0.0000 0.0000 0.0000 1
Ag2 Ag 0.0000 0.0000 0.5000 1
H1 H 0.0632 0.5478 0.3159 1
H2 H 0.1506 0.6880 0.8836 1
H3 H 0.4500 0.7318 0.4457 1
F1 F 0.1101 0.5927 0.7295 1
F2 F 0.1224 0.0637 0.7428 1
F3 F 0.1814 0.7704 0.0036 1
F4 F 0.2727 0.7403 0.3899 1
F5 F 0.3283 0.2676 0.4823 1
F6 F 0.3329 0.2451 0.1039 1
```

Calculated values
Electronic total energy ... -3.75 eV per atom
Relative energy among the computed polymorphs ... 0.0 meV/atom

***

No. 3
The following is a PBE-GGA calculation of AgHF after structural relaxation, from Alexandria via LeMat-Bulk.

The structure in CIF format:
```
data_AgHF
_cell_length_a 2.7440
_cell_length_b 4.9444
_cell_length_c 14.1503
_cell_angle_alpha 90.00
_cell_angle_beta 90.00
_cell_angle_gamma 90.00
_symmetry_space_group_name_H-M 'P 21 21 21'
_symmetry_Int_Tables_number 19
loop_
_symmetry_equiv_pos_as_xyz
'x,y,z'
'-x+1/2,-y,z+1/2'
'x+1/2,-y+1/2,-z'
'-x,y+1/2,-z+1/2'
loop_
_atom_site_label
_atom_site_type_symbol
_atom_site_fract_x
_atom_site_fract_y
_atom_site_fract_z
_atom_site_occupancy
Ag1 Ag 0.2499 0.0886 0.2494 1
H1 H 0.2045 0.5005 0.9998 1
F1 F 0.0412 0.9998 0.0169 1
```

Calculated values
Electronic total energy ... -3.53 eV per atom
Relative energy among the computed polymorphs ... 0.0 meV/atom
DOS at the Fermi energy ... 0.80 states/eV/cell